Entry 1:
CrCdSi4 | GGA-PBE | relaxed

abc: 5.1443 5.1443 5.1443
angles: 60.00 60.00 60.00
Last column: nearest neighbours and their distance in Å.
Fractional positions:
Cr1 0.0000 0.0000 0.0000  12 Si 3.01, 4 Cd 3.15
Cd1 0.7500 0.7500 0.7500  12 Si 3.02, 4 Cr 3.15
Si1 0.3745 0.3745 0.3745  6 Si 2.56-2.58
Si2 0.3745 0.3745 0.8766  6 Si 2.56-2.58
Si3 0.3745 0.8766 0.3745  6 Si 2.56-2.58
Si4 0.8766 0.3745 0.3745  6 Si 2.56-2.58

Results
**Formation energy from raw total energies**: 0.49 eV per atom


Entry 2:
Li4Pm3Ga4 | GGA-PBE | relaxed

abc: 8.5047 8.5047 8.5047
angles: 149.70 130.45 59.19
Last column: nearest neighbours and their distance in Å.
Fractional positions:
Li1 0.0202 0.8296 0.1906  4 Ga 2.68-2.78, 1 Li 2.72
Li2 0.3610 0.1704 0.1906  4 Ga 2.68-2.78, 1 Li 2.72
Li3 0.6390 0.8296 0.8094  4 Ga 2.68-2.78, 1 Li 2.72
Li4 0.9798 0.1704 0.8094  4 Ga 2.68-2.78, 1 Li 2.72
Pm1 0.0000 0.5000 0.5000  6 Ga 3.17-3.18
Pm2 0.3702 0.3702 0.0000  6 Li 3.19-3.25, 6 Ga 3.20-3.21
Pm3 0.6298 0.6298 0.0000  6 Li 3.19-3.25, 6 Ga 3.20-3.21
Ga1 0.2147 0.7147 0.5000  6 Li 2.69-2.78
Ga2 0.3180 0.0000 0.3180  1 Ga 2.59, 2 Li 2.68
Ga3 0.6820 0.0000 0.6820  1 Ga 2.59, 2 Li 2.68
Ga4 0.7853 0.2853 0.5000  6 Li 2.69-2.78

Results
**Total DFT energy (no corrections)**: -38.0 eV per cell


Entry 3:
Nd4SnSbSe2 | GGA-PBE | relaxed

abc: 7.5849 4.4035 7.6215
angles: 90.00 109.54 90.00
Last column: nearest neighbours and their distance in Å.
Fractional positions:
Nd1 0.2428 0.0000 0.2457  3 Se 3.07-3.09, 1 Sn 3.12, 2 Sb 3.14
Nd2 0.2427 0.5000 0.7490  3 Se 3.07-3.08, 2 Sn 3.13, 1 Sb 3.14
Nd3 0.7572 0.0000 0.7543  3 Se 3.07-3.09, 1 Sn 3.12, 2 Sb 3.14
Nd4 0.7573 0.5000 0.2510  3 Se 3.07-3.08, 2 Sn 3.13, 1 Sb 3.14
Sn1 0.5000 0.0000 0.0000  6 Nd 3.12-3.13
Sb1 0.5000 0.5000 0.5000  6 Nd 3.14
Se1 0.0000 0.0000 0.5000  6 Nd 3.08-3.09
Se2 0.0000 0.5000 0.0000  6 Nd 3.07

Results
**Formation energy from raw total energies**: -1.41 eV per atom


Entry 4:
La3Tb2NpN6 | GGA-PBE | relaxed

abc: 6.1471 6.1471 6.3014
angles: 99.38 99.38 119.90
Last column: nearest neighbours and their distance in Å.
Fractional positions:
La1 0.0000 0.0000 0.0000  6 N 2.61-2.77
La2 0.3309 0.6691 0.0000  6 N 2.61-2.78
La3 0.6691 0.3309 0.0000  6 N 2.61-2.78
Tb1 0.1662 0.8338 0.5000  6 N 2.49-2.50
Tb2 0.8338 0.1662 0.5000  6 N 2.49-2.50
Np1 0.5000 0.5000 0.5000  6 N 2.27-2.30
N1 0.1234 0.4288 0.2868  1 Np 2.27, 2 Tb 2.49
N2 0.2657 0.2657 0.7191  1 Np 2.30, 2 Tb 2.50
N3 0.4288 0.1234 0.2868  1 Np 2.27, 2 Tb 2.49
N4 0.5712 0.8766 0.7132  1 Np 2.27, 2 Tb 2.49
N5 0.7343 0.7343 0.2809  1 Np 2.30, 2 Tb 2.50
N6 0.8766 0.5712 0.7132  1 Np 2.27, 2 Tb 2.49

Results
**Formation energy from raw total energies**: -1.42 eV per atom


Entry 5:
Hf3ScRu | GGA-PBE | relaxed

abc: 6.5325 6.5325 7.1275
angles: 120.16 120.16 72.49
Last column: nearest neighbours and their distance in Å.
Fractional positions:
Hf1 0.0048 0.6098 0.2752  2 Ru 2.56-2.78
Hf2 0.0734 0.0734 0.2731  2 Ru 2.61-2.75
Hf3 0.3902 0.9952 0.7248  2 Ru 2.56-2.78
Hf4 0.6098 0.0048 0.2752  2 Ru 2.56-2.78
Hf5 0.9266 0.9266 0.7269  2 Ru 2.61-2.75
Hf6 0.9952 0.3902 0.7248  2 Ru 2.56-2.78
Sc1 0.4517 0.4517 0.6862  1 Ru 2.61
Sc2 0.5483 0.5483 0.3138  1 Ru 2.61
Ru1 0.2366 0.2366 0.0875  6 Hf 2.56-2.78, 1 Sc 2.61
Ru2 0.7634 0.7634 0.9125  6 Hf 2.56-2.78, 1 Sc 2.61

Results
**Relative energy among the computed polymorphs**: 0 meV/atom


Entry 6:
AcGa2RuO8 | GGA-PBE | relaxed

abc: 4.6007 4.7082 7.2516
angles: 95.16 90.47 90.99
Last column: nearest neighbours and their distance in Å.
Fractional positions:
Ac1 0.0000 0.0000 0.0000  6 O 2.51-2.58
Ga1 0.4697 0.5287 0.6950  5 O 1.87-2.04
Ga2 0.5303 0.4713 0.3050  5 O 1.87-2.04
Ru1 0.0000 0.0000 0.5000  6 O 1.89-1.98
O1 0.1748 0.2087 0.3180  1 Ru 1.89, 1 Ga 2.04
O2 0.1829 0.2263 0.7106  1 Ga 1.94, 1 Ru 1.96
O3 0.3144 0.7172 0.4893  2 Ga 1.94-1.97, 1 Ru 1.98
O4 0.4397 0.6990 0.9369  1 Ga 1.87
O5 0.5603 0.3010 0.0631  1 Ga 1.87
O6 0.6856 0.2828 0.5107  2 Ga 1.94-1.97, 1 Ru 1.98
O7 0.8171 0.7737 0.2894  1 Ga 1.94, 1 Ru 1.96
O8 0.8252 0.7913 0.6820  1 Ru 1.89, 1 Ga 2.04

Results
**Formation energy from raw total energies**: -1.56 eV per atom


Entry 7:
Sr2NdIr3O12 | GGA-PBE | relaxed

abc: 6.7340 6.7340 6.7340
angles: 65.65 65.65 65.65
Last column: nearest neighbours and their distance in Å.
Fractional positions:
Sr1 0.1112 0.1112 0.1112  3 O 2.44
Sr2 0.8888 0.8888 0.8888  3 O 2.44
Nd1 0.5000 0.5000 0.5000  6 O 2.53
Ir1 0.0000 0.5000 0.5000  6 O 1.89-1.99
Ir2 0.5000 0.0000 0.5000  6 O 1.89-1.99
Ir3 0.5000 0.5000 0.0000  6 O 1.89-1.99
O1 0.0707 0.6422 0.6422  1 Ir 1.89
O2 0.2178 0.2178 0.6326  2 Ir 1.99
O3 0.2178 0.6326 0.2178  2 Ir 1.99
O4 0.3578 0.3578 0.9293  1 Ir 1.89
O5 0.3578 0.9293 0.3578  1 Ir 1.89
O6 0.3674 0.7822 0.7822  2 Ir 1.99
O7 0.6326 0.2178 0.2178  2 Ir 1.99
O8 0.6422 0.0707 0.6422  1 Ir 1.89
O9 0.6422 0.6422 0.0707  1 Ir 1.89
O10 0.7822 0.3674 0.7822  2 Ir 1.99
O11 0.7822 0.7822 0.3674  2 Ir 1.99
O12 0.9293 0.3578 0.3578  1 Ir 1.89

Results
**Formation energy from raw total energies**: -1.52 eV per atom


Entry 8:
BaAgPb2 | GGA-PBE | relaxed

abc: 9.8527 9.8527 10.5062
angles: 90.00 90.00 149.55
Last column: nearest neighbours and their distance in Å.
Fractional positions:
Ba1 0.0000 0.0000 0.0000  10 Pb 3.80-4.15, 4 Ag 3.82
Ba2 0.0000 0.0000 0.5000  10 Pb 3.80-4.15, 4 Ag 3.82
Ba3 0.1957 0.8043 0.7500  9 Pb 3.64-3.88, 4 Ag 3.65
Ba4 0.8043 0.1957 0.2500  9 Pb 3.64-3.88, 4 Ag 3.65
Ag1 0.3524 0.6476 0.0215  5 Pb 2.91-3.13
Ag2 0.3524 0.6476 0.4785  5 Pb 2.91-3.13
Ag3 0.6476 0.3524 0.5215  5 Pb 2.91-3.13
Ag4 0.6476 0.3524 0.9785  5 Pb 2.91-3.13
Pb1 0.1929 0.8071 0.0960  3 Ag 2.99-3.13, 1 Pb 3.24
Pb2 0.1929 0.8071 0.4040  3 Ag 2.99-3.13, 1 Pb 3.24
Pb3 0.3997 0.6003 0.7500  2 Ag 2.99, 1 Pb 3.06
Pb4 0.4392 0.5608 0.2500  2 Ag 2.91, 1 Pb 3.06
Pb5 0.5608 0.4392 0.7500  2 Ag 2.91, 1 Pb 3.06
Pb6 0.6003 0.3997 0.2500  2 Ag 2.99, 1 Pb 3.06
Pb7 0.8071 0.1929 0.5960  3 Ag 2.99-3.13, 1 Pb 3.24
Pb8 0.8071 0.1929 0.9040  3 Ag 2.99-3.13, 1 Pb 3.24

Results
**Relative energy among the computed polymorphs**: 0 meV/atom


Entry 9:
BaReN3 | GGA-PBE | relaxed

abc: 5.6575 11.0264 6.0225
angles: 90.00 90.00 90.00
Last column: nearest neighbours and their distance in Å.
Fractional positions:
Ba1 0.0000 0.0000 0.0000  6 N 2.85-3.06
Ba2 0.0000 0.5000 0.0000  6 N 2.85-3.06
Ba3 0.5000 0.0000 0.5000  6 N 2.85-3.06
Ba4 0.5000 0.5000 0.5000  6 N 2.85-3.06
Re1 0.0040 0.2500 0.4241  4 N 1.77-1.92
Re2 0.4960 0.7500 0.9241  4 N 1.77-1.92
Re3 0.5040 0.2500 0.0759  4 N 1.77-1.92
Re4 0.9960 0.7500 0.5759  4 N 1.77-1.92
N1 0.0613 0.6186 0.4182  1 Re 1.77
N2 0.0613 0.8814 0.4182  1 Re 1.77
N3 0.1669 0.7500 0.8456  2 Re 1.89-1.92
N4 0.3331 0.2500 0.3456  2 Re 1.89-1.92
N5 0.4387 0.1186 0.9182  1 Re 1.77
N6 0.4387 0.3814 0.9182  1 Re 1.77
N7 0.5613 0.6186 0.0818  1 Re 1.77
N8 0.5613 0.8814 0.0818  1 Re 1.77
N9 0.6669 0.7500 0.6544  2 Re 1.89-1.92
N10 0.8331 0.2500 0.1544  2 Re 1.89-1.92
N11 0.9387 0.1186 0.5818  1 Re 1.77
N12 0.9387 0.3814 0.5818  1 Re 1.77

Results
**Formation energy from raw total energies**: -0.40 eV per atom


Entry 10:
Ac4ErPb | GGA-PBE | relaxed

abc: 9.1514 9.1514 9.1514
angles: 110.20 110.20 108.03
Last column: nearest neighbours and their distance in Å.
Fractional positions:
Ac1 0.1881 0.0000 0.1881  2 Pb 3.27-3.35, 1 Er 3.39
Ac2 0.2459 0.5501 0.3042  2 Er 3.19-3.29, 1 Pb 3.40
Ac3 0.2459 0.9417 0.6958  2 Er 3.19-3.29, 1 Pb 3.40
Ac4 0.3001 0.4959 0.8042  2 Er 3.19-3.29, 1 Pb 3.40
Ac5 0.6917 0.4959 0.1958  2 Er 3.19-3.29, 1 Pb 3.40
Ac6 0.7500 0.0619 0.3119  2 Pb 3.27-3.35, 1 Er 3.39
Ac7 0.7500 0.4381 0.6881  2 Pb 3.27-3.35, 1 Er 3.39
Ac8 0.8119 0.0000 0.8119  2 Pb 3.27-3.35, 1 Er 3.39
Er1 0.0069 0.5069 0.5000  6 Ac 3.19-3.39
Er2 0.2569 0.2569 0.0000  6 Ac 3.19-3.39
Pb1 0.4986 0.9986 0.5000  6 Ac 3.27-3.40
Pb2 0.7486 0.7486 0.0000  6 Ac 3.27-3.40

Results
**Total DFT energy (no corrections)**: -45.0 eV per cell


Entry 11:
KAlW2Se | GGA-PBE | relaxed

abc: 4.6956 4.6956 5.6368
angles: 90.00 90.00 90.00
Last column: nearest neighbours and their distance in Å.
Fractional positions:
K1 0.0000 0.0000 0.0000  4 Al 3.32, 8 W 3.67
Al1 0.5000 0.5000 0.0000  2 Se 2.82
W1 0.0000 0.5000 0.5000  2 Se 2.35
W2 0.5000 0.0000 0.5000  2 Se 2.35
Se1 0.5000 0.5000 0.5000  4 W 2.35

Results
**Formation energy from raw total energies**: 1.56 eV per atom


Entry 12:
Al2CoBi | GGA-PBE | relaxed

abc: 8.8245 8.8245 8.8245
angles: 150.42 150.42 42.33
Last column: nearest neighbours and their distance in Å.
Fractional positions:
Al1 0.0168 0.6250 0.8918  2 Co 2.43, 2 Al 2.59
Al2 0.3750 0.2668 0.3918  2 Co 2.43, 2 Al 2.59
Al3 0.7332 0.1250 0.1082  2 Co 2.43, 2 Al 2.59
Al4 0.8750 0.9832 0.6082  2 Co 2.43, 2 Al 2.59
Co1 0.0000 0.0000 0.0000  4 Al 2.43
Co2 0.7500 0.2500 0.5000  4 Al 2.43
Bi1 0.2500 0.7500 0.5000  4 Al 2.85, 4 Co 3.19
Bi2 0.5000 0.5000 0.0000  4 Al 2.85, 4 Co 3.19

Results
**Total DFT energy (no corrections)**: -34.9 eV per cell